Rb4BaU3O12 | PBE-GGA | optimized geometry

## Properties
Total energy = -7.7427 eV/atom
ΔE_f (raw) = -2.785 eV per atom
Density = 6.4 g cm⁻³

Cell: 7.7678 7.7678 7.7678 Å, 109.47 109.47 109.47°
Positions (direct):
Rb  0.0000  0.0000  0.5000
Rb  0.0000  0.5000  0.0000
Rb  0.5000  0.0000  0.0000
Rb  0.5000  0.5000  0.5000
Ba  0.0000  0.0000  0.0000
U  0.0000  0.5000  0.5000
U  0.5000  0.0000  0.5000
U  0.5000  0.5000  0.0000
O  0.0000  0.2854  0.2854
O  0.0000  0.7146  0.7146
O  0.2500  0.5000  0.7500
O  0.2500  0.7500  0.5000
O  0.2854  0.0000  0.2854
O  0.2854  0.2854  0.0000
O  0.5000  0.2500  0.7500
O  0.5000  0.7500  0.2500
O  0.7146  0.0000  0.7146
O  0.7146  0.7146  0.0000
O  0.7500  0.2500  0.5000
O  0.7500  0.5000  0.2500

***

RbBa2UO5 | PBE-GGA | optimized geometry

## Properties
Total energy = -7.3207 eV/atom
ΔE_f (raw) = -2.777 eV per atom
Density = 6.1 g cm⁻³

Cell: 7.4079 7.4079 7.4079 Å, 145.20 126.38 65.53°
Positions (direct):
Rb  0.0000  0.0000  0.0000
Ba  0.2757  0.7757  0.5000
Ba  0.7243  0.2243  0.5000
U  0.5000  0.5000  0.0000
O  0.1565  0.3708  0.7857
O  0.4150  0.6292  0.7857
O  0.5000  0.0000  0.5000
O  0.5850  0.3708  0.2143
O  0.8435  0.6292  0.2143

***

RbBa4U3O12 | PBE-GGA | optimized geometry

## Properties
Total energy = -8.0529 eV/atom
ΔE_f (raw) = -2.952 eV per atom
Density = 6.9 g cm⁻³

Cell: 7.8237 7.8237 7.8237 Å, 109.47 109.47 109.47°
Positions (direct):
Rb  0.0000  0.0000  0.0000
Ba  0.0000  0.0000  0.5000
Ba  0.0000  0.5000  0.0000
Ba  0.5000  0.0000  0.0000
Ba  0.5000  0.5000  0.5000
U  0.0000  0.5000  0.5000
U  0.5000  0.0000  0.5000
U  0.5000  0.5000  0.0000
O  0.0000  0.2804  0.2804
O  0.0000  0.7196  0.7196
O  0.2500  0.5000  0.7500
O  0.2500  0.7500  0.5000
O  0.2804  0.0000  0.2804
O  0.2804  0.2804  0.0000
O  0.5000  0.2500  0.7500
O  0.5000  0.7500  0.2500
O  0.7196  0.0000  0.7196
O  0.7196  0.7196  0.0000
O  0.7500  0.2500  0.5000
O  0.7500  0.5000  0.2500

***

RbBaUO4 | PBE-GGA | optimized geometry

## Properties
Total energy = -7.6994 eV/atom
ΔE_f (raw) = -2.841 eV per atom
Density = 6.5 g cm⁻³

Cell: 7.5098 7.5098 7.5098 Å, 145.62 145.62 49.41°
Positions (direct):
Rb  0.0000  0.0000  0.0000
Ba  0.7024  0.7024  0.0000
U  0.3529  0.3529  0.0000
O  0.2013  0.2013  0.0000
O  0.3402  0.8402  0.5000
O  0.5035  0.5035  0.0000
O  0.8402  0.3402  0.5000

***

Rb2Ba3UO6 | PBE-GGA | optimized geometry

## Properties
Total energy = -6.4297 eV/atom
ΔE_f (raw) = -2.368 eV per atom
Density = 6.0 g cm⁻³

Cell: 6.9674 6.9674 6.5266 Å, 99.43 99.43 121.13°
Positions (direct):
Rb  0.1687  0.8313  0.0000
Rb  0.8313  0.1687  0.0000
Ba  0.0000  0.0000  0.5000
Ba  0.3401  0.6599  0.5000
Ba  0.6599  0.3401  0.5000
U  0.5000  0.5000  0.0000
O  0.1794  0.4261  0.7862
O  0.3171  0.3171  0.2330
O  0.4261  0.1794  0.7862
O  0.5739  0.8206  0.2138
O  0.6829  0.6829  0.7670
O  0.8206  0.5739  0.2138

***

Rb2BaUO5 | PBE-GGA | optimized geometry

## Properties
Total energy = -7.0442 eV/atom
ΔE_f (raw) = -2.607 eV per atom
Density = 5.7 g cm⁻³

Cell: 7.7713 7.7713 7.7713 Å, 147.71 132.88 58.27°
Positions (direct):
Rb  0.2217  0.2217  0.0000
Rb  0.7783  0.7783  0.0000
Ba  0.5000  0.0000  0.5000
U  0.0000  0.5000  0.5000
O  0.0000  0.0000  0.0000
O  0.1349  0.3952  0.7397
O  0.3445  0.6048  0.7397
O  0.6555  0.3952  0.2603
O  0.8651  0.6048  0.2603